<w>
Below is a PBEsol-optimized structure of Zn3AuBr, with properties calculated at the meta-GGA SCAN level.

Properties
DOS at the Fermi energy ... 0.3097 states/eV/atom

Geometry as CIF:
```
data_Zn3AuBr
_space_group_name_H-M_alt 'P m -3 m'
_space_group_IT_number 221
_space_group_name_Hall '-P 4 2 3'
_cell_length_a 4.8901
_cell_length_b 4.8901
_cell_length_c 4.8901
_cell_angle_alpha 90.00
_cell_angle_beta 90.00
_cell_angle_gamma 90.00
loop_
_atom_site_label
_atom_site_type_symbol
_atom_site_fract_x
_atom_site_fract_y
_atom_site_fract_z
Zn1 Zn 0.0000 0.0000 0.5000
Au1 Au 0.0000 0.0000 0.0000
Br1 Br 0.5000 0.5000 0.5000
```

<x>
Below is a PBEsol-optimized structure of Zn3AuBr, with properties calculated at the meta-GGA SCAN level.

Properties
DOS at the Fermi energy ... 0.4429 states/eV/atom

Geometry as CIF:
```
data_Zn3AuBr
_space_group_name_H-M_alt 'P m -3 m'
_space_group_IT_number 221
_space_group_name_Hall '-P 4 2 3'
_cell_length_a 4.9202
_cell_length_b 4.9202
_cell_length_c 4.9202
_cell_angle_alpha 90.00
_cell_angle_beta 90.00
_cell_angle_gamma 90.00
loop_
_atom_site_label
_atom_site_type_symbol
_atom_site_fract_x
_atom_site_fract_y
_atom_site_fract_z
Zn1 Zn 0.0000 0.0000 0.5000
Au1 Au 0.5000 0.5000 0.5000
Br1 Br 0.0000 0.0000 0.0000
```

Most stable = <w>